Entry from Alexandria: an optimized crystal structure of UTa2Ti (PBE).

a = 2.9234 Å, b = 2.9234 Å, c = 10.4703 Å
α = 81.97°, β = 81.97°, γ = 60.00°
With the nearest neighbours (Å) after each atom.
Fractional positions:
Ti 0.5000 0.5000 0.5000  6 Ti 2.92, 6 Ta 2.93
U 0.0000 0.0000 0.0000  6 U 2.92, 6 Ta 3.24
Ta 0.2441 0.2441 0.2677  6 Ta 2.92, 3 Ti 2.93, 3 U 3.24
Ta 0.7559 0.7559 0.7323  6 Ta 2.92, 3 Ti 2.93, 3 U 3.24

## Properties
- E above lowest polymorph: 92.2 meV/atom
- Crystal system: trigonal
- Formation enthalpy at 0 K: 0.253 eV per atom
- Magnetic moment: 0.0 Bohr magnetons per cell